1.
Entry from the Alexandria database: a relaxed structure of MnZn2Tc (GGA-PBE).

- Energy relative to the elements: 0.70 eV/f.u.
- Relative energy among the computed polymorphs: 0.67 eV/f.u.

Unit cell a=3.1616 b=3.1616 c=5.6513 alpha=90.00 beta=90.00 gamma=90.00
With the nearest neighbours (Å) after each atom.
Sites, in units of the cell vectors:
Mn1 0.0000 0.0000 0.0000  8 Zn 2.64, 2 Tc 2.83
Zn1 0.5000 0.5000 0.2491  4 Mn 2.64, 4 Tc 2.65, 2 Zn 2.82-2.84
Zn2 0.5000 0.5000 0.7509  4 Mn 2.64, 4 Tc 2.65, 2 Zn 2.82-2.84
Tc1 0.0000 0.0000 0.5000  8 Zn 2.65, 2 Mn 2.83

---

2.
Entry from the Alexandria database: a relaxed structure of Sc3Al12V5 (GGA-PBE).

- Energy relative to the elements: 15.59 eV/f.u.

Unit cell a=13.5207 b=13.5207 c=13.5207 alpha=109.47 beta=109.47 gamma=109.47
With the nearest neighbours (Å) after each atom.
Sites, in units of the cell vectors:
Sc1 0.1250 0.2500 0.3750  8 Al 2.80-2.82
Sc2 0.1250 0.3750 0.7500  8 Al 2.80-2.82
Sc3 0.2500 0.3750 0.1250  8 Al 2.80-2.82
Sc4 0.2500 0.8750 0.6250  8 Al 2.80-2.82
Sc5 0.3750 0.1250 0.2500  8 Al 2.80-2.82
Sc6 0.3750 0.7500 0.1250  8 Al 2.80-2.82
Sc7 0.6250 0.2500 0.8750  8 Al 2.80-2.82
Sc8 0.6250 0.8750 0.7500  8 Al 2.80-2.82
Sc9 0.7500 0.1250 0.3750  8 Al 2.80-2.82
Sc10 0.7500 0.6250 0.8750  8 Al 2.80-2.82
Sc11 0.8750 0.6250 0.2500  8 Al 2.80-2.82
Sc12 0.8750 0.7500 0.6250  8 Al 2.80-2.82
Al1 0.0670 0.2178 0.1433  2 V 2.55-2.72, 2 Sc 2.80-2.82
Al2 0.0670 0.3492 0.9237  2 V 2.55-2.72, 2 Sc 2.80-2.82
Al3 0.0745 0.7178 0.6508  2 V 2.55-2.72, 2 Sc 2.80-2.82
Al4 0.0745 0.8567 0.4237  2 V 2.55-2.72, 2 Sc 2.80-2.82
Al5 0.0763 0.6433 0.4255  2 V 2.55-2.72, 2 Sc 2.80-2.82
Al6 0.0763 0.9330 0.6508  2 V 2.55-2.72, 2 Sc 2.80-2.82
Al7 0.1433 0.0670 0.2178  2 V 2.55-2.72, 2 Sc 2.80-2.82
Al8 0.1433 0.5763 0.9255  2 V 2.55-2.72, 2 Sc 2.80-2.82
Al9 0.1508 0.2178 0.5745  2 V 2.55-2.72, 2 Sc 2.80-2.82
Al10 0.1508 0.4330 0.5763  2 V 2.55-2.72, 2 Sc 2.80-2.82
Al11 0.2178 0.1433 0.0670  2 V 2.55-2.72, 2 Sc 2.80-2.82
Al12 0.2178 0.5745 0.1508  2 V 2.55-2.72, 2 Sc 2.80-2.82
Al13 0.2822 0.3492 0.9255  2 V 2.55-2.72, 2 Sc 2.80-2.82
Al14 0.2822 0.4330 0.3567  2 V 2.55-2.72, 2 Sc 2.80-2.82
Al15 0.3492 0.9237 0.0670  2 V 2.55-2.72, 2 Sc 2.80-2.82
Al16 0.3492 0.9255 0.2822  2 V 2.55-2.72, 2 Sc 2.80-2.82
Al17 0.3567 0.2822 0.4330  2 V 2.55-2.72, 2 Sc 2.80-2.82
Al18 0.3567 0.5745 0.9237  2 V 2.55-2.72, 2 Sc 2.80-2.82
Al19 0.4237 0.0745 0.8567  2 V 2.55-2.72, 2 Sc 2.80-2.82
Al20 0.4237 0.8492 0.5670  2 V 2.55-2.72, 2 Sc 2.80-2.82
Al21 0.4255 0.0763 0.6433  2 V 2.55-2.72, 2 Sc 2.80-2.82
Al22 0.4255 0.8492 0.7822  2 V 2.55-2.72, 2 Sc 2.80-2.82
Al23 0.4330 0.3567 0.2822  2 V 2.55-2.72, 2 Sc 2.80-2.82
Al24 0.4330 0.5763 0.1508  2 V 2.55-2.72, 2 Sc 2.80-2.82
Al25 0.5670 0.4237 0.8492  2 V 2.55-2.72, 2 Sc 2.80-2.82
Al26 0.5670 0.6433 0.7178  2 V 2.55-2.72, 2 Sc 2.80-2.82
Al27 0.5745 0.1508 0.2178  2 V 2.55-2.72, 2 Sc 2.80-2.82
Al28 0.5745 0.9237 0.3567  2 V 2.55-2.72, 2 Sc 2.80-2.82
Al29 0.5763 0.1508 0.4330  2 V 2.55-2.72, 2 Sc 2.80-2.82
Al30 0.5763 0.9255 0.1433  2 V 2.55-2.72, 2 Sc 2.80-2.82
Al31 0.6433 0.4255 0.0763  2 V 2.55-2.72, 2 Sc 2.80-2.82
Al32 0.6433 0.7178 0.5670  2 V 2.55-2.72, 2 Sc 2.80-2.82
Al33 0.6508 0.0745 0.7178  2 V 2.55-2.72, 2 Sc 2.80-2.82
Al34 0.6508 0.0763 0.9330  2 V 2.55-2.72, 2 Sc 2.80-2.82
Al35 0.7178 0.5670 0.6433  2 V 2.55-2.72, 2 Sc 2.80-2.82
Al36 0.7178 0.6508 0.0745  2 V 2.55-2.72, 2 Sc 2.80-2.82
Al37 0.7822 0.4255 0.8492  2 V 2.55-2.72, 2 Sc 2.80-2.82
Al38 0.7822 0.8567 0.9330  2 V 2.55-2.72, 2 Sc 2.80-2.82
Al39 0.8492 0.5670 0.4237  2 V 2.55-2.72, 2 Sc 2.80-2.82
Al40 0.8492 0.7822 0.4255  2 V 2.55-2.72, 2 Sc 2.80-2.82
Al41 0.8567 0.4237 0.0745  2 V 2.55-2.72, 2 Sc 2.80-2.82
Al42 0.8567 0.9330 0.7822  2 V 2.55-2.72, 2 Sc 2.80-2.82
Al43 0.9237 0.0670 0.3492  2 V 2.55-2.72, 2 Sc 2.80-2.82
Al44 0.9237 0.3567 0.5745  2 V 2.55-2.72, 2 Sc 2.80-2.82
Al45 0.9255 0.1433 0.5763  2 V 2.55-2.72, 2 Sc 2.80-2.82
Al46 0.9255 0.2822 0.3492  2 V 2.55-2.72, 2 Sc 2.80-2.82
Al47 0.9330 0.6508 0.0763  2 V 2.55-2.72, 2 Sc 2.80-2.82
Al48 0.9330 0.7822 0.8567  2 V 2.55-2.72, 2 Sc 2.80-2.82
V1 0.0000 0.0000 0.0000  6 Al 2.55
V2 0.0000 0.0000 0.5000  6 Al 2.55
V3 0.0000 0.5000 0.0000  6 Al 2.55
V4 0.0000 0.5000 0.5000  6 Al 2.55
V5 0.1250 0.7500 0.8750  4 Al 2.72
V6 0.1250 0.8750 0.2500  4 Al 2.72
V7 0.2500 0.1250 0.8750  4 Al 2.72
V8 0.2500 0.6250 0.3750  4 Al 2.72
V9 0.3750 0.2500 0.6250  4 Al 2.72
V10 0.3750 0.6250 0.7500  4 Al 2.72
V11 0.5000 0.0000 0.0000  6 Al 2.55
V12 0.5000 0.0000 0.5000  6 Al 2.55
V13 0.5000 0.5000 0.0000  6 Al 2.55
V14 0.5000 0.5000 0.5000  6 Al 2.55
V15 0.6250 0.3750 0.2500  4 Al 2.72
V16 0.6250 0.7500 0.3750  4 Al 2.72
V17 0.7500 0.3750 0.6250  4 Al 2.72
V18 0.7500 0.8750 0.1250  4 Al 2.72
V19 0.8750 0.1250 0.7500  4 Al 2.72
V20 0.8750 0.2500 0.1250  4 Al 2.72

---

3.
Entry from the Alexandria database: a relaxed structure of TaP2CCl (GGA-PBE).

- E_form (uncorrected): 1.451 eV/atom
- Relative energy among the computed polymorphs: 1.84 eV/f.u.

Unit cell a=4.8492 b=4.8492 c=4.7816 alpha=90.00 beta=90.00 gamma=90.00
With the nearest neighbours (Å) after each atom.
Sites, in units of the cell vectors:
Ta1 0.0000 0.0000 0.0000  2 Cl 2.39, 4 P 2.42
P1 0.0000 0.5000 0.0000  2 Ta 2.42
P2 0.5000 0.0000 0.0000  2 Ta 2.42
C1 0.5000 0.5000 0.5000  8 P 3.41, 4 Cl 3.43
Cl1 0.0000 0.0000 0.5000  2 Ta 2.39

---

4.
Entry from the Alexandria database: a relaxed structure of AlSbPb2I (GGA-PBE).

- E_form (uncorrected): 0.275 eV/atom

Unit cell a=5.8491 b=5.8491 c=5.1120 alpha=90.00 beta=90.00 gamma=90.00
With the nearest neighbours (Å) after each atom.
Sites, in units of the cell vectors:
Al1 0.0000 0.0000 0.0000  2 Sb 2.56
Sb1 0.0000 0.0000 0.5000  2 Al 2.56
Pb1 0.0000 0.5000 0.0000  2 Al 2.92
Pb2 0.5000 0.0000 0.0000  2 Al 2.92
I1 0.5000 0.5000 0.5000  8 Pb 3.88, 4 Sb 4.14